1.
# Hf2AgSbF, optimized geometry, DFT PBE
data_Hf2AgSbF
_space_group_name_H-M_alt 'P 4/m m m'
_space_group_IT_number 123
_space_group_name_Hall '-P 4 2'
_cell_length_a 4.333
_cell_length_b 4.333
_cell_length_c 5.285
_cell_angle_alpha 90.00
_cell_angle_beta 90.00
_cell_angle_gamma 90.00
loop_
_atom_site_label
_atom_site_fract_x
_atom_site_fract_y
_atom_site_fract_z
_atom_site_occupancy
Hf1 0.000 0.500 0.000 1
Ag1 0.000 0.000 0.500 1
Sb1 0.500 0.500 0.500 1
F1 0.500 0.500 0.000 1
# Formation energy (no corrections)   -367 meV/atom
# E_tot   -6.117 eV/atom

=====

2.
# YSeS3, optimized geometry, DFT PBE
data_YSeS3
_space_group_name_H-M_alt 'P m -3 m'
_space_group_IT_number 221
_space_group_name_Hall '-P 4 2 3'
_cell_length_a 5.216
_cell_length_b 5.216
_cell_length_c 5.216
_cell_angle_alpha 90.00
_cell_angle_beta 90.00
_cell_angle_gamma 90.00
loop_
_atom_site_label
_atom_site_fract_x
_atom_site_fract_y
_atom_site_fract_z
_atom_site_occupancy
Y1 0.000 0.000 0.000 1
Se1 0.500 0.500 0.500 1
S1 0.000 0.000 0.500 1
# Formation energy (no corrections)   86 meV/atom
# E_tot   -4.380 eV/atom
# Energy relative to the lowest polymorph listed for this composition   459.3 meV per atom

=====

3.
# Ba3NpB2N6, optimized geometry, DFT PBE
data_Ba3NpB2N6
_space_group_name_H-M_alt 'P -3 m 1'
_space_group_IT_number 164
_space_group_name_Hall '-P 3 2"'
_cell_length_a 5.7281
_cell_length_b 5.7281
_cell_length_c 6.9899
_cell_angle_alpha 90.00
_cell_angle_beta 90.00
_cell_angle_gamma 120.00
loop_
_atom_site_label
_atom_site_fract_x
_atom_site_fract_y
_atom_site_fract_z
_atom_site_occupancy
Ba1 0.0000 0.0000 0.0000 1
Ba2 0.3333 0.6667 0.7045 1
Np1 0.0000 0.0000 0.5000 1
B1 0.3333 0.6667 0.2997 1
N1 0.1831 0.3662 0.3133 1
# Formation energy (no corrections)   -902 meV/atom
# E_tot   -7.737 eV/atom

=====

4.
# La5Sm3Er2, optimized geometry, DFT PBE
data_La5Sm3Er2
_space_group_name_H-M_alt 'I b a m'
_space_group_IT_number 72
_space_group_name_Hall '-I 2 2c'
_cell_length_a 9.588
_cell_length_b 13.791
_cell_length_c 11.124
_cell_angle_alpha 90.00
_cell_angle_beta 90.00
_cell_angle_gamma 90.00
loop_
_atom_site_label
_atom_site_fract_x
_atom_site_fract_y
_atom_site_fract_z
_atom_site_occupancy
La1 0.000 0.000 0.250 1
La2 0.000 0.252 0.250 1
La3 0.107 0.113 0.000 1
Sm1 0.000 0.500 0.250 1
Sm2 0.249 0.372 0.000 1
Er1 0.084 0.379 0.500 1
# E_tot   -4.465 eV/atom
# Energy of formation   32 kJ/mol of atoms

=====

5.
# YIn5Hg8, optimized geometry, DFT PBE
data_YIn5Hg8
_space_group_name_H-M_alt 'C 1 2 1'
_space_group_IT_number 5
_cell_length_a 14.224
_cell_length_b 7.663
_cell_length_c 8.562
_cell_angle_alpha 90.00
_cell_angle_beta 125.83
_cell_angle_gamma 90.00
loop_
_space_group_symop_operation_xyz
'x,y,z'
'-x,y,-z'
'x+1/2,y+1/2,z'
'-x+1/2,y+1/2,-z'
loop_
_atom_site_label
_atom_site_fract_x
_atom_site_fract_y
_atom_site_fract_z
_atom_site_occupancy
Y1 0.000 0.000 0.000 1
In1 0.000 0.636 0.500 1
In2 0.067 0.309 0.797 1
In3 0.126 0.034 0.488 1
Hg1 0.074 0.640 0.222 1
Hg2 0.153 0.893 0.867 1
Hg3 0.184 0.287 0.240 1
Hg4 0.227 0.399 0.681 1
# E_tot   -1.681 eV/atom
# Energy of formation   -7 kJ/mol of atoms

=====

6.
# NaHo2Fe, optimized geometry, DFT PBE
data_NaHo2Fe
_space_group_name_H-M_alt 'R -3 m'
_space_group_IT_number 166
_space_group_name_Hall '-R 3 2"'
_cell_length_a 3.6815
_cell_length_b 3.6815
_cell_length_c 31.1187
_cell_angle_alpha 90.00
_cell_angle_beta 90.00
_cell_angle_gamma 120.00
loop_
_atom_site_label
_atom_site_fract_x
_atom_site_fract_y
_atom_site_fract_z
_atom_site_occupancy
Na1 0.0000 0.0000 0.0000 1
Ho1 0.0000 0.0000 0.1161 1
Fe1 0.0000 0.0000 0.5000 1
# E_tot   -4.478 eV/atom
# Energy of formation   25 kJ/mol of atoms
# Energy relative to the lowest polymorph listed for this composition   189.7 meV per atom

=====

7.
# Ce7BI12, optimized geometry, DFT PBE
data_Ce7BI12
_space_group_name_H-M_alt 'R -3'
_space_group_IT_number 148
_space_group_name_Hall '-R 3'
_cell_length_a 16.0001
_cell_length_b 16.0001
_cell_length_c 10.7942
_cell_angle_alpha 90.00
_cell_angle_beta 90.00
_cell_angle_gamma 120.00
loop_
_atom_site_label
_atom_site_fract_x
_atom_site_fract_y
_atom_site_fract_z
_atom_site_occupancy
Ce1 0.0000 0.0000 0.0000 1
Ce2 0.0418 0.8878 0.3567 1
B1 0.0000 0.0000 0.5000 1
I1 0.0202 0.4343 0.1617 1
I2 0.0513 0.8652 0.8366 1
# Formation energy (no corrections)   -1128 meV/atom
# E_tot   -4.469 eV/atom

=====

8.
# Ca2PmHo, optimized geometry, DFT PBE
data_Ca2PmHo
_space_group_name_H-M_alt 'R -3 m'
_space_group_IT_number 166
_space_group_name_Hall '-R 3 2"'
_cell_length_a 3.5852
_cell_length_b 3.5852
_cell_length_c 39.5000
_cell_angle_alpha 90.00
_cell_angle_beta 90.00
_cell_angle_gamma 120.00
loop_
_atom_site_label
_atom_site_fract_x
_atom_site_fract_y
_atom_site_fract_z
_atom_site_occupancy
Ca1 0.0000 0.0000 0.0869 1
Pm1 0.0000 0.0000 0.5000 1
Ho1 0.0000 0.0000 0.0000 1
# E_tot   -3.084 eV/atom
# Energy of formation   24 kJ/mol of atoms
# Energy relative to the lowest polymorph listed for this composition   198.2 meV per atom

=====

Values for density, g cm⁻³, ordered as above
10.14 3.09 6.31 6.68 9.95 5.57 5.23 4.42